Below is a geometry-optimized Ni2Bi2Pb structure, with properties calculated at the PBE-GGA level.

a b c (Å): 6.080 6.080 6.080
angles (deg): 133.26 133.26 68.24
Atoms (fractional coordinates):
Ni 0.119 0.119 0.000
Ni 0.881 0.881 0.000
Bi 0.250 0.750 0.500
Bi 0.750 0.250 0.500
Pb 0.500 0.500 0.000

The value obtained for the size of the total moment is 0.000 μB/cell. Its energy of formation from the pure elements is 266 meV per atom. The crystal system is tetragonal.